No. 1
Entry from Alexandria: an optimized crystal structure of Th2MgAu (PBE).

a = 3.591 Å, b = 10.207 Å, c = 6.219 Å
α = 90.00°, β = 106.76°, γ = 90.00°
Atoms (fractional coordinates):
Th 0.131 0.048 0.261
Th 0.131 0.452 0.261
Th 0.869 0.548 0.739
Th 0.869 0.952 0.739
Mg 0.436 0.250 0.871
Mg 0.564 0.750 0.129
Au 0.248 0.750 0.496
Au 0.752 0.250 0.504

Output
E above lowest polymorph: 0 meV/atom
ΔE_f: -22.4 kJ/mol of atoms
Crystal system: monoclinic

No. 2
Entry from Alexandria: an optimized crystal structure of Tb3Dy6Er (PBE).

a = 10.913 Å, b = 10.913 Å, c = 6.178 Å
α = 90.00°, β = 90.00°, γ = 119.84°
Atoms (fractional coordinates):
Tb 0.110 0.890 0.500
Tb 0.220 0.440 0.889
Tb 0.440 0.220 0.389
Tb 0.560 0.780 0.889
Tb 0.780 0.560 0.389
Tb 0.890 0.110 0.000
Dy 0.035 0.455 0.293
Dy 0.119 0.211 0.469
Dy 0.211 0.119 0.969
Dy 0.220 0.780 0.074
Dy 0.454 0.546 0.344
Dy 0.455 0.035 0.793
Dy 0.545 0.965 0.293
Dy 0.546 0.454 0.844
Dy 0.780 0.220 0.574
Dy 0.789 0.881 0.469
Dy 0.881 0.789 0.969
Dy 0.965 0.545 0.793
Er 0.295 0.705 0.570
Er 0.705 0.295 0.070

Output
E above lowest polymorph: 26 meV/atom
ΔE_f: 14.3 kJ/mol of atoms
Crystal system: orthorhombic

No. 3
Entry from Alexandria: an optimized crystal structure of MnIn2Ni (PBE).

a = 5.152 Å, b = 5.152 Å, c = 5.152 Å
α = 134.56°, β = 134.56°, γ = 66.21°
Atoms (fractional coordinates):
Mn 0.000 0.000 0.000
In 0.500 0.500 0.000
In 0.750 0.250 0.500
Ni 0.250 0.750 0.500

Output
ΔE_f: 14.4 kJ/mol of atoms
Crystal system: tetragonal

No. 4
Entry from Alexandria: an optimized crystal structure of In2Fe2Mo (PBE).

a = 6.213 Å, b = 6.213 Å, c = 4.195 Å
α = 90.00°, β = 90.00°, γ = 90.00°
Atoms (fractional coordinates):
In 0.178 0.322 0.000
In 0.322 0.822 0.000
In 0.678 0.178 0.000
In 0.822 0.678 0.000
Fe 0.127 0.627 0.500
Fe 0.373 0.127 0.500
Fe 0.627 0.873 0.500
Fe 0.873 0.373 0.500
Mo 0.000 0.000 0.500
Mo 0.500 0.500 0.500

Output
E above lowest polymorph: 0 meV/atom
ΔE_f: 35.5 kJ/mol of atoms
Crystal system: tetragonal

No. 5
Entry from Alexandria: an optimized crystal structure of La3Er2Cd2 (PBE).

a = 11.922 Å, b = 11.922 Å, c = 3.552 Å
α = 90.00°, β = 90.00°, γ = 154.76°
Atoms (fractional coordinates):
La 0.000 0.000 0.000
La 0.147 0.853 0.000
La 0.853 0.147 0.000
Er 0.289 0.711 0.500
Er 0.711 0.289 0.500
Cd 0.430 0.570 0.500
Cd 0.570 0.430 0.500

Output
ΔE_f: -7.3 kJ/mol of atoms
Crystal system: orthorhombic

No. 6
Entry from Alexandria: an optimized crystal structure of Sc2PaTc (PBE).

a = 5.812 Å, b = 5.812 Å, c = 8.945 Å
α = 90.00°, β = 90.00°, γ = 143.06°
Atoms (fractional coordinates):
Sc 0.141 0.859 0.568
Sc 0.141 0.859 0.932
Sc 0.859 0.141 0.068
Sc 0.859 0.141 0.432
Pa 0.428 0.572 0.750
Pa 0.572 0.428 0.250
Tc 0.229 0.771 0.250
Tc 0.771 0.229 0.750

Output
E above lowest polymorph: 56 meV/atom
ΔE_f: -14.1 kJ/mol of atoms
Crystal system: orthorhombic

No. 7
Entry from Alexandria: an optimized crystal structure of BaBi (PBE).

a = 7.096 Å, b = 7.096 Å, c = 7.198 Å
α = 90.00°, β = 90.00°, γ = 90.00°
Atoms (fractional coordinates):
Ba 0.195 0.195 0.000
Ba 0.305 0.695 0.500
Ba 0.695 0.305 0.500
Ba 0.805 0.805 0.000
Bi 0.161 0.161 0.500
Bi 0.339 0.661 0.000
Bi 0.661 0.339 0.000
Bi 0.839 0.839 0.500

Output
ΔE_f: -67.2 kJ/mol of atoms
Crystal system: tetragonal

No. 8
Entry from Alexandria: an optimized crystal structure of NbBCl3 (PBE).

a = 4.479 Å, b = 4.479 Å, c = 4.479 Å
α = 90.00°, β = 90.00°, γ = 90.00°
Atoms (fractional coordinates):
Nb 0.000 0.000 0.000
B 0.500 0.500 0.500
Cl 0.000 0.500 0.500
Cl 0.500 0.000 0.500
Cl 0.500 0.500 0.000

Output
Crystal system: cubic
ΔE_f (raw): 17.05 kcal/mol of atoms

No. 9
Entry from Alexandria: an optimized crystal structure of BaMoIr (PBE).

a = 4.206 Å, b = 4.206 Å, c = 5.393 Å
α = 90.00°, β = 90.00°, γ = 120.00°
Atoms (fractional coordinates):
Ba 0.000 0.000 0.000
Mo 0.333 0.667 0.479
Ir 0.667 0.333 0.537

Output
E above lowest polymorph: 0 meV/atom
ΔE_f: 27.7 kJ/mol of atoms
Crystal system: trigonal

No. 10
Entry from Alexandria: an optimized crystal structure of NaTi2Ir (PBE).

a = 5.919 Å, b = 5.919 Å, c = 5.919 Å
α = 103.50°, β = 103.50°, γ = 122.23°
Atoms (fractional coordinates):
Na 0.000 0.000 0.000
Na 0.750 0.250 0.500
Ti 0.172 0.625 0.047
Ti 0.375 0.422 0.547
Ti 0.578 0.125 0.953
Ti 0.875 0.828 0.453
Ir 0.250 0.750 0.500
Ir 0.500 0.500 0.000

Output
E above lowest polymorph: 335 meV/atom
ΔE_f: 27.6 kJ/mol of atoms
Crystal system: tetragonal

No. 11
Entry from Alexandria: an optimized crystal structure of Cs3Sn2F7 (PBE).

a = 13.252 Å, b = 13.252 Å, c = 4.675 Å
α = 90.00°, β = 90.00°, γ = 159.22°
Atoms (fractional coordinates):
Cs 0.000 0.000 0.000
Cs 0.187 0.813 0.000
Cs 0.813 0.187 0.000
Sn 0.399 0.601 0.500
Sn 0.601 0.399 0.500
F 0.109 0.891 0.500
F 0.313 0.687 0.500
F 0.387 0.613 0.000
F 0.500 0.500 0.500
F 0.613 0.387 0.000
F 0.687 0.313 0.500
F 0.891 0.109 0.500

Output
E above lowest polymorph: 25 meV/atom
Crystal system: orthorhombic
ΔE_f (raw): -57.31 kcal/mol of atoms

No. 12
Entry from Alexandria: an optimized crystal structure of MgZnP2S (PBE).

a = 4.840 Å, b = 4.840 Å, c = 4.722 Å
α = 90.00°, β = 90.00°, γ = 90.00°
Atoms (fractional coordinates):
Mg 0.000 0.000 0.000
Zn 0.500 0.500 0.500
P 0.000 0.500 0.000
P 0.500 0.000 0.000
S 0.000 0.000 0.500

Output
E above lowest polymorph: 245 meV/atom
Crystal system: tetragonal
ΔE_f (raw): 18.72 kcal/mol of atoms